YErThAl (PBE-GGA, optimized geometry); energy of formation = -0.036 eV/atom; size of the total moment = 0.000 μB/atom; calculated volume = 109.7 Å³/cell
1.0
0.0000 3.7999 3.7999
3.7999 0.0000 3.7999
3.7999 3.7999 0.0000
Y Er Th Al
1 1 1 1
direct
0.0000 0.0000 0.0000
0.2500 0.2500 0.2500
0.5000 0.5000 0.5000
0.7500 0.7500 0.7500